Computed, not measured: a relaxed Na3Ca18FeP14O56 crystal at the PBE+U level of DFT.

Cell: 10.475 10.487 13.891 Å, 89.99 112.08 119.84°
Sites, in units of the cell vectors:
1 Na 0.637 0.821 0.451
2 Na 0.478 0.537 0.027
3 Na 0.622 0.318 0.936
4 Ca 0.857 0.919 0.203
5 Ca 0.269 0.344 0.201
6 Ca 0.282 0.938 0.205
7 Ca 0.492 0.940 0.023
8 Ca 0.091 0.553 0.028
9 Ca 0.272 0.429 0.707
10 Ca 0.278 0.842 0.704
11 Ca 0.861 0.436 0.705
12 Ca 0.999 0.499 0.499
13 Ca 0.157 0.566 0.305
14 Ca 0.715 0.148 0.306
15 Ca 0.735 0.586 0.300
16 Ca 0.710 0.060 0.805
17 Ca 0.742 0.649 0.806
18 Ca 0.153 0.095 0.804
19 Ca 0.495 0.056 0.521
20 Ca 0.082 0.027 0.521
21 Ca 0.464 0.439 0.519
22 Fe 0.998 0.000 0.998
23 P 0.470 0.737 0.207
24 P 0.596 0.780 0.909
25 P 0.095 0.314 0.909
26 P 0.125 0.813 0.908
27 P 0.427 0.691 0.599
28 P 0.864 0.174 0.600
29 P 0.086 0.269 0.402
30 P 0.910 0.736 0.600
31 P 0.134 0.818 0.403
32 P 0.586 0.318 0.402
33 P 0.868 0.192 0.093
34 P 0.905 0.680 0.095
35 P 0.413 0.216 0.092
36 P 0.467 0.233 0.701
37 O 0.637 0.748 0.249
38 O 0.352 0.606 0.243
39 O 0.501 0.889 0.256
40 O 0.390 0.706 0.084
41 O 0.642 0.819 0.029
42 O 0.202 0.392 0.028
43 O 0.515 0.611 0.867
44 O 0.757 0.867 0.891
45 O 0.999 0.136 0.893
46 O 0.197 0.350 0.845
47 O 0.212 0.826 0.028
48 O 0.967 0.359 0.868
49 O 0.491 0.845 0.849
50 O 0.502 0.602 0.662
51 O 0.256 0.896 0.866
52 O 0.002 0.644 0.851
53 O 0.966 0.102 0.638
54 O 0.024 0.891 0.889
55 O 0.765 0.163 0.664
56 O 0.534 0.864 0.639
57 O 0.189 0.308 0.524
58 O 0.268 0.633 0.616
59 O 0.982 0.349 0.618
60 O 0.390 0.643 0.481
61 O 0.986 0.636 0.618
62 O 0.734 0.096 0.482
63 O 0.061 0.899 0.664
64 O 0.950 0.098 0.367
65 O 0.202 0.314 0.347
66 O 0.776 0.670 0.641
67 O 0.217 0.882 0.526
68 O 0.645 0.339 0.525
69 O 0.000 0.359 0.372
70 O 0.271 0.852 0.368
71 O 0.014 0.643 0.373
72 O 0.730 0.371 0.371
73 O 0.840 0.747 0.482
74 O 0.459 0.148 0.350
75 O 0.971 0.117 0.098
76 O 0.773 0.111 0.159
77 O 0.516 0.420 0.366
78 O 0.039 0.893 0.350
79 O 0.995 0.363 0.140
80 O 0.055 0.667 0.160
81 O 0.501 0.133 0.144
82 O 0.741 0.161 0.978
83 O 0.496 0.378 0.157
84 O 0.789 0.642 0.148
85 O 0.984 0.856 0.098
86 O 0.240 0.124 0.097
87 O 0.819 0.583 0.981
88 O 0.392 0.215 0.976
89 O 0.494 0.106 0.742
90 O 0.635 0.387 0.744
91 O 0.353 0.246 0.742
92 O 0.387 0.194 0.577

Summary:
DFT total energy (eV per atom): -7.127
Total moment (Bohr magnetons per cell): 4.9
Crystal system: triclinic
SG: No. 1